3
Lattice="2.2919 -3.9697 0.0000 2.2919 3.9697 0.0000 0.0000 0.0000 2.7641" Properties=species:S:1:pos:R:3 comment="Zr2C | Alexandria | PBE-GGA | optimized geometry" volume_a3_per_atom=16.8 spacegroup="P6/mmm, No. 191" final_energy_ev_per_atom=-6.98 pbc="T T T"
C 0.0000 0.0000 1.3821
Zr 2.2919 1.3233 0.0000
Zr 2.2919 -1.3233 0.0000